## P
Tb7Nd3Ho2: relaxed, PBE.

Lattice parameters (Å, degrees): 6.5236 6.5236 34.0207 90.00 90.00 120.00
Space group R-3m (No. 166, hexagonal axes)
One atom of each set of equivalent atoms:
Tb 0.0000 0.0000 0.0000 [3 per cell]
Tb 0.0014 0.5007 0.4163 [18 per cell]
Nd 0.0000 0.0000 0.3448 [6 per cell]
Nd 0.0000 0.0000 0.5000 [3 per cell]
Ho 0.0000 0.0000 0.1667 [6 per cell]

**Fermi-level density of states**: 59.31 states/eV per cell
**Crystal system**: trigonal

## Q
Tb7Nd3Ho2: relaxed, PBE.

Lattice parameters (Å, degrees): 5.861 3.579 18.870 90.00 93.04 90.00
Space group P2/m (No. 10)
One atom of each set of equivalent atoms:
Tb 0.000 0.000 0.000 [1 per cell]
Tb 0.192 0.500 0.177 [2 per cell]
Tb 0.257 0.500 0.537 [2 per cell]
Tb 0.310 0.000 0.856 [2 per cell]
Nd 0.221 0.000 0.366 [2 per cell]
Nd 0.500 0.500 0.000 [1 per cell]
Ho 0.290 0.500 0.707 [2 per cell]

**Fermi-level density of states**: 15.20 states/eV per cell
**Crystal system**: monoclinic

Which of them is most stable? Easy: Q.

## P
Tb12Nd2Ho5: relaxed, PBE.

Lattice parameters (Å, degrees): 6.763 8.815 11.371 111.12 92.44 100.62
Space group P-1 (No. 2)
One atom of each set of equivalent atoms:
Tb 0.115 0.194 0.226 [2 per cell]
Tb 0.118 0.360 0.767 [2 per cell]
Tb 0.160 0.945 0.587 [2 per cell]
Tb 0.335 0.929 0.315 [2 per cell]
Tb 0.344 0.523 0.134 [2 per cell]
Tb 0.379 0.719 0.752 [2 per cell]
Nd 0.344 0.116 0.930 [2 per cell]
Ho 0.000 0.500 0.500 [1 per cell]
Ho 0.120 0.764 0.015 [2 per cell]
Ho 0.453 0.321 0.538 [2 per cell]

**Fermi-level density of states**: 27.52 states/eV per cell
**Crystal system**: triclinic

## Q
Tb12Nd2Ho5: relaxed, PBE.

Lattice parameters (Å, degrees): 15.782 9.232 8.557 90.00 91.04 90.00
Space group C2/m (No. 12)
One atom of each set of equivalent atoms:
Tb 0.059 0.000 0.332 [4 per cell]
Tb 0.093 0.500 0.882 [4 per cell]
Tb 0.126 0.192 0.656 [8 per cell]
Tb 0.156 0.319 0.243 [8 per cell]
Nd 0.000 0.182 0.000 [4 per cell]
Ho 0.000 0.500 0.500 [2 per cell]
Ho 0.198 0.000 0.011 [4 per cell]
Ho 0.231 0.500 0.574 [4 per cell]

**Fermi-level density of states**: 54.89 states/eV per cell
**Crystal system**: monoclinic

Which of them is most stable? Easy: P.

## P
Tb2NdHo9: relaxed, PBE.

Lattice parameters (Å, degrees): 11.2000 11.2000 3.5035 90.00 90.00 120.00
Space group P6/mmm (No. 191)
One atom of each set of equivalent atoms:
Tb 0.3333 0.6667 0.0000 [2 per cell]
Nd 0.0000 0.0000 0.0000 [1 per cell]
Ho 0.0000 0.5000 0.0000 [3 per cell]
Ho 0.1777 0.3553 0.5000 [6 per cell]

**Fermi-level density of states**: 16.92 states/eV per cell
**Crystal system**: hexagonal

## Q
Tb2NdHo9: relaxed, PBE.

Lattice parameters (Å, degrees): 5.010 5.010 15.029 90.00 90.00 90.00
Space group P4/mmm (No. 123)
One atom of each set of equivalent atoms:
Tb 0.000 0.000 0.166 [2 per cell]
Nd 0.000 0.000 0.500 [1 per cell]
Ho 0.000 0.500 0.000 [2 per cell]
Ho 0.000 0.500 0.332 [4 per cell]
Ho 0.500 0.500 0.165 [2 per cell]
Ho 0.500 0.500 0.500 [1 per cell]

**Fermi-level density of states**: 17.07 states/eV per cell
**Crystal system**: tetragonal

Which of them is most stable? Easy: Q.